Material: Pr2O3
Method: DFT, PBE-GGA
State: relaxed

abc: 9.3827 3.5315 9.3368
angles: 90.00 90.00 90.00
Last column: nearest neighbours and their distance in Å.
Element x y z (fractional)
Pr 0.0044 0.2500 0.1850  7 O 2.41-2.53
Pr 0.1864 0.2500 0.5114  7 O 2.42-2.65
Pr 0.3136 0.7500 0.0114  7 O 2.42-2.65
Pr 0.4956 0.7500 0.6850  7 O 2.41-2.53
Pr 0.5044 0.2500 0.3150  7 O 2.41-2.53
Pr 0.6864 0.2500 0.9886  7 O 2.42-2.65
Pr 0.8136 0.7500 0.4886  7 O 2.42-2.65
Pr 0.9956 0.7500 0.8150  7 O 2.41-2.53
O 0.0444 0.7500 0.3728  5 Pr 2.42-2.56
O 0.1137 0.2500 0.9434  5 Pr 2.41-2.65
O 0.2258 0.7500 0.6876  4 Pr 2.44-2.53, 1 O 2.73
O 0.2742 0.2500 0.1876  4 Pr 2.44-2.53, 1 O 2.73
O 0.3863 0.7500 0.4434  5 Pr 2.41-2.65
O 0.4556 0.2500 0.8728  5 Pr 2.42-2.56
O 0.5444 0.7500 0.1272  5 Pr 2.42-2.56
O 0.6137 0.2500 0.5566  5 Pr 2.41-2.65
O 0.7258 0.7500 0.8124  4 Pr 2.44-2.53, 1 O 2.73
O 0.7742 0.2500 0.3124  4 Pr 2.44-2.53, 1 O 2.73
O 0.8863 0.7500 0.0566  5 Pr 2.41-2.65
O 0.9556 0.2500 0.6272  5 Pr 2.42-2.56

Computed properties:
* SG: Pnma, No. 62
* DFT total energy: -8.09 eV/atom
* energy relative to the elements, uncorrected: -1544 kJ/mol of formula units
* spin magnetization: 0.0 μB/f.u.
* calculated density: 7.1 g/cm³